[1]
Below is crystalline Zr4TcP at its relaxed geometry, with properties calculated at the PBE level.

Results
formation enthalpy at 0 K: 0.57 eV per atom

Cell: 5.555 5.555 5.555 Å, 60.00 60.00 60.00°
Sites, in units of the cell vectors:
Zr (0.374, 0.374, 0.878)
Zr (0.374, 0.878, 0.374)
Zr (0.374, 0.374, 0.374)
Tc (0.000, 0.000, 0.000)
Zr (0.878, 0.374, 0.374)
P (0.750, 0.750, 0.750)

[2]
Below is crystalline RbCoHg2 at its relaxed geometry, with properties calculated at the PBE level.

Results
formation enthalpy at 0 K: 0.35 eV per atom
relative energy among the computed polymorphs: 0.000 eV per atom

Cell: 6.078 6.078 9.218 Å, 70.75 70.75 90.00°
Sites, in units of the cell vectors:
Hg (0.875, 0.648, 0.750)
Co (0.500, 0.500, 0.000)
Rb (0.750, 0.250, 0.500)
Hg (0.375, 0.602, 0.750)
Hg (0.352, 0.625, 0.250)
Co (0.250, 0.750, 0.500)
Rb (0.000, 0.000, 0.000)
Hg (0.398, 0.125, 0.250)

[3]
Below is crystalline TbSm3As4 at its relaxed geometry, with properties calculated at the PBE level.

Results
formation enthalpy at 0 K: -1.53 eV per atom

Cell: 4.198 7.266 7.266 Å, 109.46 90.00 90.00°
Sites, in units of the cell vectors:
Tb (0.500, 0.000, 0.000)
As (0.500, 0.752, 0.248)
As (0.500, 0.248, 0.752)
Sm (0.000, 0.500, 0.000)
As (0.000, 0.753, 0.753)
Sm (0.000, 0.000, 0.500)
Sm (0.500, 0.500, 0.500)
As (0.000, 0.247, 0.247)

[4]
Below is crystalline MnCo2Si at its relaxed geometry, with properties calculated at the PBE level.

Results
raw formation energy: -7.19 kJ/mol of atoms

Cell: 7.841 7.841 7.841 Å, 18.69 18.69 18.69°
Sites, in units of the cell vectors:
Co (0.003, 0.003, 0.003)
Mn (0.250, 0.250, 0.250)
Si (0.750, 0.750, 0.750)
Co (0.497, 0.497, 0.497)

[5]
Below is crystalline ZrGa2Cu at its relaxed geometry, with properties calculated at the PBE level.

Results
formation enthalpy at 0 K: -0.44 eV per atom

Cell: 3.978 4.064 4.064 Å, 90.00 90.00 90.00°
Sites, in units of the cell vectors:
Zr (0.500, 0.500, 0.500)
Ga (0.000, 0.000, 0.500)
Cu (0.500, 0.000, 0.000)
Ga (0.000, 0.500, 0.000)

[6]
Below is crystalline Fe2HgIr at its relaxed geometry, with properties calculated at the PBE level.

Results
formation enthalpy at 0 K: 0.33 eV per atom

Cell: 8.828 8.828 8.828 Å, 18.52 18.52 18.52°
Sites, in units of the cell vectors:
Hg (0.503, 0.503, 0.503)
Ir (0.740, 0.740, 0.740)
Fe (0.997, 0.997, 0.997)
Fe (0.260, 0.260, 0.260)